[1]
DFT (PBE-GGA) results for Ca3ScIn4 after structural relaxation.

The structure in POSCAR format:
```
Ca3ScIn4
1.0
3.7214 0.0000 0.0000
0.0000 3.7214 0.0000
0.0000 0.0000 15.5368
Ca Sc In
3 1 4
direct
0.0000 0.0000 0.0000 Ca
0.0000 0.0000 0.2600 Ca
0.0000 0.0000 0.7400 Ca
0.0000 0.0000 0.5000 Sc
0.5000 0.5000 0.1310 In
0.5000 0.5000 0.3918 In
0.5000 0.5000 0.6082 In
0.5000 0.5000 0.8690 In
```

final energy = -3.3562 eV per atom
symmetry = No. 123
total moment = 0.0 μB per cell


[2]
DFT (PBE-GGA) results for Pa4GeSe5 after structural relaxation.

The structure in POSCAR format:
```
Pa4GeSe5
1.0
8.8418 -2.0286 0.0000
8.8418 2.0286 0.0000
-1.8929 0.0000 8.0004
Pa Ge Se
4 1 5
direct
0.9997 0.9997 0.2480 Pa
0.0003 0.0003 0.7520 Pa
0.3336 0.3336 0.9114 Pa
0.6664 0.6664 0.0886 Pa
0.5000 0.5000 0.0000 Ge
0.1653 0.1653 0.3293 Se
0.1672 0.1672 0.8330 Se
0.5000 0.5000 0.5000 Se
0.8328 0.8328 0.1670 Se
0.8347 0.8347 0.6707 Se
```

ΔE_f (raw) = -11.39 eV/f.u.
symmetry = No. 12
total moment = 2.2 μB per cell


[3]
DFT (PBE-GGA) results for SrBe2Ru after structural relaxation.

The structure in POSCAR format:
```
SrBe2Ru
1.0
-2.0609 2.0609 3.8948
2.0609 -2.0609 3.8948
2.0609 2.0609 -3.8948
Sr Be Ru
1 2 1
direct
0.0000 0.0000 0.0000 Sr
0.2500 0.7500 0.5000 Be
0.5000 0.5000 0.0000 Be
0.7500 0.2500 0.5000 Ru
```

final energy = -3.7588 eV per atom
symmetry = No. 119
total moment = 0.0 μB per cell


[4]
DFT (PBE-GGA) results for La2PuUN6 after structural relaxation.

The structure in POSCAR format:
```
La2PuUN6
1.0
5.9340 0.0000 0.0000
0.0000 6.0284 0.0000
-5.8174 0.0000 8.4767
La Pu U N
4 2 2 12
direct
0.2393 0.0415 0.2477 La
0.2393 0.4585 0.7477 La
0.7607 0.5415 0.2523 La
0.7607 0.9585 0.7523 La
0.0000 0.0000 0.5000 Pu
0.0000 0.5000 0.0000 Pu
0.5000 0.0000 0.0000 U
0.5000 0.5000 0.5000 U
0.1701 0.2047 0.9520 N
0.1701 0.2953 0.4520 N
0.2174 0.6948 0.9498 N
0.2174 0.8052 0.4498 N
0.3543 0.0270 0.7597 N
0.3543 0.4730 0.2597 N
0.6457 0.5270 0.7403 N
0.6457 0.9730 0.2403 N
0.7826 0.1948 0.5502 N
0.7826 0.3052 0.0502 N
0.8299 0.7047 0.5480 N
0.8299 0.7953 0.0480 N
```

ΔE_f (raw) = -12.93 eV/f.u.
symmetry = No. 14
total moment = 4.0 μB per cell


[5]
DFT (PBE-GGA) results for Fe11Ir9Rh4 after structural relaxation.

The structure in POSCAR format:
```
Fe11Ir9Rh4
1.0
7.4756 -8.0041 0.0000
7.4756 8.0041 0.0000
0.0000 0.0000 2.6771
Fe Ir Rh
11 9 4
direct
0.0000 0.0000 0.0000 Fe
0.0716 0.4158 0.0000 Fe
0.1718 0.8282 0.0000 Fe
0.2368 0.2368 0.0000 Fe
0.3482 0.6518 0.0000 Fe
0.4158 0.0716 0.0000 Fe
0.5842 0.9284 0.0000 Fe
0.6518 0.3482 0.0000 Fe
0.7632 0.7632 0.0000 Fe
0.8282 0.1718 0.0000 Fe
0.9284 0.5842 0.0000 Fe
0.0339 0.2057 0.5000 Ir
0.1327 0.6247 0.5000 Ir
0.2057 0.0339 0.5000 Ir
0.3753 0.8673 0.5000 Ir
0.5000 0.5000 0.5000 Ir
0.6247 0.1327 0.5000 Ir
0.7943 0.9661 0.5000 Ir
0.8673 0.3753 0.5000 Ir
0.9661 0.7943 0.5000 Ir
0.2707 0.4372 0.5000 Rh
0.4372 0.2707 0.5000 Rh
0.5628 0.7293 0.5000 Rh
0.7293 0.5628 0.5000 Rh
```

final energy = -8.3912 eV per atom
symmetry = No. 65
total moment = 26.9 μB per cell


[6]
DFT (PBE-GGA) results for Rb3La2UTe6 after structural relaxation.

The structure in POSCAR format:
```
Rb3La2UTe6
1.0
4.0720 -7.0538 0.0000
4.0720 7.0538 0.0000
-2.7158 0.0000 8.5527
Rb La U Te
3 2 1 6
direct
0.0000 0.0000 0.0000 Rb
0.3317 0.6683 0.0000 Rb
0.6683 0.3317 0.0000 Rb
0.1664 0.8336 0.5000 La
0.8336 0.1664 0.5000 La
0.5000 0.5000 0.5000 U
0.1048 0.4318 0.2950 Te
0.2418 0.2418 0.7056 Te
0.4318 0.1048 0.2950 Te
0.5682 0.8952 0.7050 Te
0.7582 0.7582 0.2944 Te
0.8952 0.5682 0.7050 Te
```

ΔE_f (raw) = -15.16 eV/f.u.
symmetry = No. 12
total moment = 3.0 μB per cell


[7]
DFT (PBE-GGA) results for MnNiMo2H after structural relaxation.

The structure in POSCAR format:
```
MnNiMo2H
1.0
3.9225 0.0000 0.0000
0.0000 3.9225 0.0000
0.0000 0.0000 3.6390
Mn Ni Mo H
1 1 2 1
direct
0.0000 0.0000 0.0000 Mn
0.5000 0.5000 0.0000 Ni
0.0000 0.5000 0.5000 Mo
0.5000 0.0000 0.5000 Mo
0.5000 0.5000 0.5000 H
```

final energy = -7.9177 eV per atom
symmetry = No. 123
total moment = 0.7 μB per cell


[8]
DFT (PBE-GGA) results for Pr2Pa2Ge2C after structural relaxation.

The structure in POSCAR format:
```
Pr2Pa2Ge2C
1.0
-2.3208 2.3208 8.0442
2.3208 -2.3208 8.0442
2.3208 2.3208 -8.0442
Pr Pa Ge C
2 2 2 1
direct
0.1736 0.1736 0.0000 Pr
0.8264 0.8264 0.0000 Pr
0.0000 0.5000 0.5000 Pa
0.5000 0.0000 0.5000 Pa
0.3695 0.3695 0.0000 Ge
0.6305 0.6305 0.0000 Ge
0.0000 0.0000 0.0000 C
```

final energy = -7.2623 eV per atom
symmetry = No. 139
total moment = 0.0 μB per cell


[9]
DFT (PBE-GGA) results for YErThZr after structural relaxation.

The structure in POSCAR format:
```
YErThZr
1.0
0.0000 3.8744 3.8744
3.8744 0.0000 3.8744
3.8744 3.8744 0.0000
Y Er Th Zr
1 1 1 1
direct
0.0000 0.0000 0.0000 Y
0.7500 0.7500 0.7500 Er
0.5000 0.5000 0.5000 Th
0.2500 0.2500 0.2500 Zr
```

final energy = -6.5778 eV per atom
symmetry = No. 216
total moment = 0.0 μB per cell


[10]
DFT (PBE-GGA) results for CoNi2Hg after structural relaxation.

The structure in POSCAR format:
```
CoNi2Hg
1.0
0.0000 2.9973 2.9973
2.9973 0.0000 2.9973
2.9973 2.9973 0.0000
Co Ni Hg
1 2 1
direct
0.0000 0.0000 0.0000 Co
0.5000 0.5000 0.5000 Ni
0.7500 0.7500 0.7500 Ni
0.2500 0.2500 0.2500 Hg
```

final energy = -4.3920 eV per atom
symmetry = No. 216
total moment = 2.5 μB per cell


[11]
DFT (PBE-GGA) results for Tm11Zn9Pt4 after structural relaxation.

The structure in POSCAR format:
```
Tm11Zn9Pt4
1.0
6.8762 -10.4249 0.0000
6.8762 10.4249 0.0000
0.0000 0.0000 3.5777
Tm Zn Pt
11 9 4
direct
0.0000 0.0000 0.0000 Tm
0.0720 0.4133 0.0000 Tm
0.1688 0.8312 0.0000 Tm
0.2799 0.2799 0.0000 Tm
0.3618 0.6382 0.0000 Tm
0.4133 0.0720 0.0000 Tm
0.5867 0.9280 0.0000 Tm
0.6382 0.3618 0.0000 Tm
0.7201 0.7201 0.0000 Tm
0.8312 0.1688 0.0000 Tm
0.9280 0.5867 0.0000 Tm
0.0555 0.2085 0.5000 Zn
0.1538 0.6336 0.5000 Zn
0.2085 0.0555 0.5000 Zn
0.3664 0.8462 0.5000 Zn
0.5000 0.5000 0.5000 Zn
0.6336 0.1538 0.5000 Zn
0.7915 0.9445 0.5000 Zn
0.8462 0.3664 0.5000 Zn
0.9445 0.7915 0.5000 Zn
0.2544 0.4470 0.5000 Pt
0.4470 0.2544 0.5000 Pt
0.5530 0.7456 0.5000 Pt
0.7456 0.5530 0.5000 Pt
```

final energy = -4.2059 eV per atom
symmetry = No. 65
total moment = 0.0 μB per cell


[12]
DFT (PBE-GGA) results for Sr3Pm after structural relaxation.

The structure in POSCAR format:
```
Sr3Pm
1.0
-3.2036 3.2036 4.5435
3.2036 -3.2036 4.5435
3.2036 3.2036 -4.5435
Sr Pm
3 1
direct
0.0000 0.0000 0.0000 Sr
0.2500 0.7500 0.5000 Sr
0.7500 0.2500 0.5000 Sr
0.5000 0.5000 0.0000 Pm
```

final energy = -2.2919 eV per atom
symmetry = No. 139
total moment = 0.0 μB per cell


Q: What is the total moment in the twelfth record?
A: 0.0 μB per cell